# 1
DFT (PBE-GGA) results for CaSnO3 after structural relaxation.

* formation energy (no corrections): -2102.8 meV per atom

abc: 7.7023 7.8066 8.3607
angles: 88.38 77.73 89.96
Closest atoms and distances in Å follow each position.
Element x y z (fractional)
Ca  0.0696  0.2536  0.2122  6 O 2.32-2.55
Ca  0.2550  0.0071  0.4936  4 O 2.24-2.46
Ca  0.4202  0.7324  0.7847  6 O 2.38-2.50
Ca  0.5798  0.2676  0.2153  6 O 2.38-2.50
Ca  0.7450  0.9929  0.5064  4 O 2.24-2.46
Ca  0.9304  0.7464  0.7878  6 O 2.32-2.55
Sn  0.0998  0.7538  0.1986  4 O 1.93-2.02
Sn  0.2314  0.5110  0.4958  4 O 1.98-2.12
Sn  0.4225  0.2378  0.8059  4 O 1.94-2.01
Sn  0.5775  0.7622  0.1941  4 O 1.94-2.01
Sn  0.7686  0.4890  0.5042  4 O 1.98-2.12
Sn  0.9002  0.2462  0.8014  4 O 1.93-2.02
O  0.0141  0.5452  0.3422  2 Sn 2.02-2.12
O  0.0343  0.9661  0.3151  1 Sn 1.96
O  0.1260  0.7413  0.9646  1 Sn 1.93
O  0.2180  0.7388  0.5964  1 Sn 1.98
O  0.2854  0.2891  0.3881  1 Sn 1.98
O  0.3274  0.6728  0.2552  2 Sn 2.01
O  0.3546  0.2355  0.0428  1 Sn 1.94
O  0.3582  0.4474  0.6903  2 Sn 1.99-2.12
O  0.4398  0.0227  0.6864  1 Sn 1.97
O  0.5602  0.9773  0.3136  1 Sn 1.97
O  0.6418  0.5526  0.3097  2 Sn 1.99-2.12
O  0.6454  0.7645  0.9572  1 Sn 1.94
O  0.6726  0.3272  0.7448  2 Sn 2.01
O  0.7146  0.7109  0.6119  1 Sn 1.98
O  0.7820  0.2612  0.4036  1 Sn 1.98
O  0.8740  0.2587  0.0354  1 Sn 1.93
O  0.9657  0.0339  0.6849  1 Sn 1.96
O  0.9859  0.4548  0.6578  2 Sn 2.02-2.12

# 2
DFT (PBE-GGA) results for Ba4AsHBr2 after structural relaxation.

abc: 7.8595 4.6614 8.2531
angles: 90.00 108.21 90.00
Closest atoms and distances in Å follow each position.
Element x y z (fractional)
Ba  0.2434  0.0000  0.2282  1 As 3.16, 2 H 3.22, 3 Br 3.37-3.42
Ba  0.2497  0.5000  0.7838  1 H 3.04, 2 As 3.21
Ba  0.7503  0.5000  0.2162  1 H 3.04, 2 As 3.21
Ba  0.7566  0.0000  0.7718  1 As 3.16, 2 H 3.22, 3 Br 3.37-3.42
As  0.5000  0.0000  0.0000  6 Ba 3.16-3.21
H  0.0000  0.5000  0.0000  6 Ba 3.04-3.22
Br  0.0000  0.0000  0.5000  6 Ba 3.37-3.45
Br  0.5000  0.5000  0.5000  6 Ba 3.42-3.50

# 3
DFT (PBE-GGA) results for NpTi2Ni after structural relaxation.

* calculated formation energy: -0.0187 eV per atom

abc: 2.7571 2.7571 8.1635
angles: 90.00 90.00 90.00
Closest atoms and distances in Å follow each position.
Element x y z (fractional)
Np  0.0000  0.0000  0.0000  4 Np 2.76, 8 Ti 3.04
Ti  0.5000  0.5000  0.2856  4 Ni 2.62, 4 Ti 2.76
Ti  0.5000  0.5000  0.7144  4 Ni 2.62, 4 Ti 2.76
Ni  0.0000  0.0000  0.5000  8 Ti 2.62, 4 Ni 2.76

# 4
DFT (PBE-GGA) results for RbGe6Se8 after structural relaxation.

* formation energy (no corrections): -254.2 meV per atom

abc: 7.6122 7.6122 7.6122
angles: 87.11 87.11 87.11
Closest atoms and distances in Å follow each position.
Element x y z (fractional)
Rb  0.0000  0.0000  0.0000  8 Se 3.76-3.84
Ge  0.1821  0.3778  0.5864  3 Se 2.51-2.71
Ge  0.3778  0.5864  0.1821  3 Se 2.51-2.71
Ge  0.4136  0.8179  0.6222  3 Se 2.51-2.71
Ge  0.5864  0.1821  0.3778  3 Se 2.51-2.71
Ge  0.6222  0.4136  0.8179  3 Se 2.51-2.71
Ge  0.8179  0.6222  0.4136  3 Se 2.51-2.71
Se  0.1253  0.7274  0.4049  2 Ge 2.51-2.71
Se  0.2726  0.5951  0.8747  2 Ge 2.51-2.71
Se  0.2773  0.2773  0.2773  3 Ge 2.57
Se  0.4049  0.1253  0.7274  2 Ge 2.51-2.71
Se  0.5951  0.8747  0.2726  2 Ge 2.51-2.71
Se  0.7227  0.7227  0.7227  3 Ge 2.57
Se  0.7274  0.4049  0.1253  2 Ge 2.51-2.71
Se  0.8747  0.2726  0.5951  2 Ge 2.51-2.71

# 5
DFT (PBE-GGA) results for ZnRhSI2 after structural relaxation.

* formation energy (no corrections): 719.8 meV per atom

abc: 5.7133 5.7133 4.4106
angles: 90.00 90.00 90.00
Closest atoms and distances in Å follow each position.
Element x y z (fractional)
Zn  0.0000  0.0000  0.0000  2 S 2.21
Rh  0.5000  0.5000  0.5000  8 I 3.61, 4 S 4.04
S  0.0000  0.0000  0.5000  2 Zn 2.21
I  0.0000  0.5000  0.0000  2 Zn 2.86
I  0.5000  0.0000  0.0000  2 Zn 2.86

# 6
DFT (PBE-GGA) results for BeMoIr2 after structural relaxation.

* calculated formation energy: -0.0385 eV per atom

abc: 8.5025 8.5025 8.5025
angles: 18.69 18.69 18.69
Closest atoms and distances in Å follow each position.
Element x y z (fractional)
Be  0.0000  0.0000  0.0000  3 Ir 2.34
Mo  0.7523  0.7523  0.7523  3 Ir 2.66, 3 Be 2.67, 6 Mo 2.76
Ir  0.2651  0.2651  0.2651  3 Be 2.34
Ir  0.5041  0.5041  0.5041  3 Mo 2.66, 9 Ir 2.76-2.85

# 7
DFT (PBE-GGA) results for Pa4Te5As after structural relaxation.

* formation energy (no corrections): -835.7 meV per atom

abc: 9.4636 9.4636 8.5826
angles: 102.16 102.16 25.31
Closest atoms and distances in Å follow each position.
Element x y z (fractional)
Pa  0.0023  0.0023  0.2702  2 As 2.87, 4 Te 3.05-3.10
Pa  0.3415  0.3415  0.4246  1 As 2.86, 5 Te 3.05-3.12
Pa  0.6585  0.6585  0.5754  1 As 2.86, 5 Te 3.05-3.12
Pa  0.9977  0.9977  0.7298  2 As 2.87, 4 Te 3.05-3.10
Te  0.1662  0.1662  0.8391  3 Pa 3.05
Te  0.1714  0.1714  0.3113  4 Pa 3.07-3.12
Te  0.5000  0.5000  0.0000  4 Pa 3.10
Te  0.8286  0.8286  0.6887  4 Pa 3.07-3.12
Te  0.8338  0.8338  0.1609  3 Pa 3.05
As  0.5000  0.5000  0.5000  6 Pa 2.86-2.87

# 8
DFT (PBE-GGA) results for LiAlPb2Au6 after structural relaxation.

* calculated formation energy: -0.2151 eV per atom

abc: 4.5868 6.8779 7.2898
angles: 77.02 72.12 71.47
Closest atoms and distances in Å follow each position.
Element x y z (fractional)
Li  0.0000  0.0000  0.0000  6 Au 2.72-2.83
Al  0.5000  0.5000  0.5000  6 Au 2.60-2.71
Pb  0.2532  0.3550  0.1335  6 Au 2.98-3.26
Pb  0.7468  0.6450  0.8665  6 Au 2.98-3.26
Au  0.0452  0.2955  0.6080  2 Al 2.70-2.71, 4 Au 2.83-2.87
Au  0.2588  0.8530  0.6350  1 Al 2.60, 1 Li 2.83, 1 Au 2.87
Au  0.4552  0.8937  0.2041  2 Li 2.72-2.75, 4 Au 2.83-2.97, 2 Pb 2.98-3.03
Au  0.5448  0.1063  0.7959  2 Li 2.72-2.75, 4 Au 2.83-2.97, 2 Pb 2.98-3.03
Au  0.7412  0.1470  0.3650  1 Al 2.60, 1 Li 2.83, 1 Au 2.87
Au  0.9548  0.7045  0.3920  2 Al 2.70-2.71, 4 Au 2.83-2.87

# 9
DFT (PBE-GGA) results for NbI3 after structural relaxation.

* formation energy (no corrections): -443.7 meV per atom

abc: 7.5873 7.5873 6.7527
angles: 90.00 90.00 120.00
Closest atoms and distances in Å follow each position.
Element x y z (fractional)
Nb  0.0000  0.0000  0.0000  6 I 2.84
Nb  0.0000  0.0000  0.5000  6 I 2.84
I  0.0000  0.3010  0.2500  2 Nb 2.84
I  0.0000  0.6990  0.7500  2 Nb 2.84
I  0.3010  0.0000  0.2500  2 Nb 2.84
I  0.3010  0.3010  0.7500  2 Nb 2.84
I  0.6990  0.0000  0.7500  2 Nb 2.84
I  0.6990  0.6990  0.2500  2 Nb 2.84

# 10
DFT (PBE-GGA) results for ScBe4Pd after structural relaxation.

* calculated formation energy: -0.3381 eV per atom

abc: 4.5653 4.5653 4.5653
angles: 60.00 60.00 60.00
Closest atoms and distances in Å follow each position.
Element x y z (fractional)
Sc  0.0000  0.0000  0.0000  12 Be 2.68, 4 Pd 2.80
Be  0.3755  0.3755  0.3755  6 Be 2.27-2.29
Be  0.3755  0.3755  0.8734  6 Be 2.27-2.29
Be  0.3755  0.8734  0.3755  6 Be 2.27-2.29
Be  0.8734  0.3755  0.3755  6 Be 2.27-2.29
Pd  0.7500  0.7500  0.7500  12 Be 2.68, 4 Sc 2.80

# 11
DFT (PBE-GGA) results for LiBeGaAu after structural relaxation.

* calculated formation energy: -0.2358 eV per atom

abc: 4.2569 4.2569 4.2569
angles: 60.00 60.00 60.00
Closest atoms and distances in Å follow each position.
Element x y z (fractional)
Li  0.0000  0.0000  0.0000  4 Ga 2.61, 4 Be 2.61
Be  0.2500  0.2500  0.2500  4 Li 2.61, 4 Au 2.61
Ga  0.7500  0.7500  0.7500  4 Li 2.61, 4 Au 2.61
Au  0.5000  0.5000  0.5000  4 Ga 2.61, 4 Be 2.61

# 12
DFT (PBE-GGA) results for MgTe2P after structural relaxation.

* formation energy (no corrections): 71.4 meV per atom

abc: 3.8848 3.9254 8.3256
angles: 90.00 90.00 90.00
Closest atoms and distances in Å follow each position.
Element x y z (fractional)
Mg  0.0000  0.0000  0.0000  4 Te 2.76
Te  0.0000  0.5000  0.5000  4 P 2.76
Te  0.5000  0.5000  0.0000  4 Mg 2.76
P  0.5000  0.0000  0.5000  4 Te 2.76

# 13
DFT (PBE-GGA) results for HgIrW2 after structural relaxation.

* calculated formation energy: 0.3511 eV per atom

abc: 9.7492 9.7492 9.7492
angles: 16.85 16.85 16.85
Closest atoms and distances in Å follow each position.
Element x y z (fractional)
Hg  0.0000  0.0000  0.0000  6 Hg 2.86, 3 Ir 3.03, 3 W 3.06
Ir  0.2450  0.2450  0.2450  3 W 2.65, 6 Ir 2.86
W  0.5063  0.5063  0.5063  3 Ir 2.65, 9 W 2.86-2.92
W  0.7559  0.7559  0.7559  9 W 2.86-2.92, 3 Hg 3.06

# 14
DFT (PBE-GGA) results for Pm3HoTh3 after structural relaxation.

* calculated formation energy: 0.0628 eV per atom

abc: 9.5832 9.5832 5.8805
angles: 90.00 90.00 120.00
Closest atoms and distances in Å follow each position.
Element x y z (fractional)
Pm  0.0444  0.2433  0.2500  5 Th 3.50-3.78, 1 Ho 3.59, 6 Pm 3.64-3.72
Pm  0.1988  0.9556  0.2500  5 Th 3.50-3.78, 1 Ho 3.59, 6 Pm 3.64-3.72
Pm  0.2433  0.1988  0.7500  5 Th 3.50-3.78, 1 Ho 3.59, 6 Pm 3.64-3.72
Pm  0.7567  0.8012  0.2500  5 Th 3.50-3.78, 1 Ho 3.59, 6 Pm 3.64-3.72
Pm  0.8012  0.0444  0.7500  5 Th 3.50-3.78, 1 Ho 3.59, 6 Pm 3.64-3.72
Pm  0.9556  0.7567  0.7500  5 Th 3.50-3.78, 1 Ho 3.59, 6 Pm 3.64-3.72
Ho  0.3333  0.6667  0.2500  9 Th 3.55-3.68, 3 Pm 3.59
Ho  0.6667  0.3333  0.7500  9 Th 3.55-3.68, 3 Pm 3.59
Th  0.1045  0.4900  0.7500  4 Th 3.45-3.62, 5 Pm 3.50-3.78, 3 Ho 3.55-3.68
Th  0.3856  0.8955  0.7500  4 Th 3.45-3.62, 5 Pm 3.50-3.78, 3 Ho 3.55-3.68
Th  0.4900  0.3856  0.2500  4 Th 3.45-3.62, 5 Pm 3.50-3.78, 3 Ho 3.55-3.68
Th  0.5100  0.6144  0.7500  4 Th 3.45-3.62, 5 Pm 3.50-3.78, 3 Ho 3.55-3.68
Th  0.6144  0.1045  0.2500  4 Th 3.45-3.62, 5 Pm 3.50-3.78, 3 Ho 3.55-3.68
Th  0.8955  0.5100  0.2500  4 Th 3.45-3.62, 5 Pm 3.50-3.78, 3 Ho 3.55-3.68

# 15
DFT (PBE-GGA) results for DyTc2PC after structural relaxation.

* calculated formation energy: -0.6297 eV per atom

abc: 5.8317 5.8317 7.1484
angles: 90.00 90.00 141.55
Closest atoms and distances in Å follow each position.
Element x y z (fractional)
Dy  0.0416  0.9584  0.7500  4 C 2.66
Dy  0.9584  0.0416  0.2500  4 C 2.66
Tc  0.3297  0.6703  0.5597  1 C 1.92
Tc  0.3297  0.6703  0.9403  1 C 1.92
Tc  0.6703  0.3297  0.0597  1 C 1.92
Tc  0.6703  0.3297  0.4403  1 C 1.92
P  0.2334  0.7666  0.2500  6 Tc 2.45
P  0.7666  0.2334  0.7500  6 Tc 2.45
C  0.5000  0.5000  0.0000  2 Tc 1.92
C  0.5000  0.5000  0.5000  2 Tc 1.92

# 16
DFT (PBE-GGA) results for LiCe2Au2 after structural relaxation.

* calculated formation energy: -0.5000 eV per atom

abc: 7.9803 7.9803 3.9881
angles: 90.00 90.00 90.00
Closest atoms and distances in Å follow each position.
Element x y z (fractional)
Li  0.0000  0.0000  0.0000  4 Au 3.10
Li  0.5000  0.5000  0.0000  4 Au 3.10
Ce  0.1643  0.3357  0.5000  6 Au 3.00-3.13
Ce  0.3357  0.8357  0.5000  6 Au 3.00-3.13
Ce  0.6643  0.1643  0.5000  6 Au 3.00-3.13
Ce  0.8357  0.6643  0.5000  6 Au 3.00-3.13
Au  0.1365  0.6365  0.0000  6 Ce 3.00-3.13, 1 Au 3.08, 2 Li 3.10
Au  0.3635  0.1365  0.0000  6 Ce 3.00-3.13, 1 Au 3.08, 2 Li 3.10
Au  0.6365  0.8635  0.0000  6 Ce 3.00-3.13, 1 Au 3.08, 2 Li 3.10
Au  0.8635  0.3635  0.0000  6 Ce 3.00-3.13, 1 Au 3.08, 2 Li 3.10

# 17
DFT (PBE-GGA) results for SrSi after structural relaxation.

* formation energy (no corrections): 126.0 meV per atom

abc: 3.8183 3.8183 4.7767
angles: 90.00 90.00 120.00
Closest atoms and distances in Å follow each position.
Element x y z (fractional)
Sr  0.0000  0.0000  0.0000  6 Si 3.25
Si  0.3333  0.6667  0.5000  6 Sr 3.25

# 18
DFT (PBE-GGA) results for K3GaBi3 after structural relaxation.

* calculated formation energy: -0.2365 eV per atom

abc: 7.2599 7.2599 10.0413
angles: 92.62 92.62 89.51
Closest atoms and distances in Å follow each position.
Element x y z (fractional)
K  0.1632  0.8368  0.0000  1 K 3.34, 2 Bi 3.44
K  0.3010  0.6990  0.5000  2 Ga 3.58, 4 Bi 3.62-3.79
K  0.3825  0.3825  0.1244  1 Bi 3.43, 1 K 3.59
K  0.6175  0.6175  0.8756  1 Bi 3.43, 1 K 3.59
K  0.6990  0.3010  0.5000  2 Ga 3.58, 4 Bi 3.62-3.79
K  0.8368  0.1632  0.0000  1 K 3.34, 2 Bi 3.44
Ga  0.1396  0.1396  0.6233  4 Bi 2.77-2.89
Ga  0.8604  0.8604  0.3767  4 Bi 2.77-2.89
Bi  0.1115  0.4673  0.7741  1 Ga 2.77
Bi  0.1353  0.1353  0.3374  2 Ga 2.87-2.89
Bi  0.4673  0.1115  0.7741  1 Ga 2.77
Bi  0.5327  0.8885  0.2259  1 Ga 2.77
Bi  0.8647  0.8647  0.6626  2 Ga 2.87-2.89
Bi  0.8885  0.5327  0.2259  1 Ga 2.77

# 19
DFT (PBE-GGA) results for RbHf3Zr after structural relaxation.

* calculated formation energy: 2.0929 eV per atom

abc: 5.0079 5.0079 5.0079
angles: 90.00 90.00 90.00
Closest atoms and distances in Å follow each position.
Element x y z (fractional)
Rb  0.0000  0.0000  0.0000  6 Hf 2.50
Hf  0.0000  0.0000  0.5000  2 Rb 2.50
Hf  0.0000  0.5000  0.0000  2 Rb 2.50
Hf  0.5000  0.0000  0.0000  2 Rb 2.50
Zr  0.5000  0.5000  0.5000  12 Hf 3.54

# 20
DFT (PBE-GGA) results for Y6Ho3Tm2Sc after structural relaxation.

* calculated formation energy: 0.0363 eV per atom

abc: 6.0994 6.0994 11.6677
angles: 94.99 94.99 119.95
Closest atoms and distances in Å follow each position.
Element x y z (fractional)
Y  0.0818  0.4131  0.2468  1 Sc 3.48, 2 Tm 3.49, 6 Y 3.50-3.53, 3 Ho 3.54-3.56
Y  0.2495  0.2495  0.7530  1 Sc 3.49, 2 Tm 3.49, 6 Y 3.50-3.53, 3 Ho 3.54-3.55
Y  0.4131  0.0818  0.2468  1 Sc 3.48, 2 Tm 3.49, 6 Y 3.50-3.53, 3 Ho 3.54-3.56
Y  0.5869  0.9182  0.7532  1 Sc 3.48, 2 Tm 3.49, 6 Y 3.50-3.53, 3 Ho 3.54-3.56
Y  0.7505  0.7505  0.2470  1 Sc 3.49, 2 Tm 3.49, 6 Y 3.50-3.53, 3 Ho 3.54-3.55
Y  0.9182  0.5869  0.7532  1 Sc 3.48, 2 Tm 3.49, 6 Y 3.50-3.53, 3 Ho 3.54-3.56
Ho  0.1666  0.8334  0.5000  6 Ho 3.52, 6 Y 3.54-3.56
Ho  0.5000  0.5000  0.5000  6 Ho 3.52, 6 Y 3.55
Ho  0.8334  0.1666  0.5000  6 Ho 3.52, 6 Y 3.54-3.56
Tm  0.3334  0.6666  0.0000  6 Y 3.49, 3 Tm 3.52, 3 Sc 3.52
Tm  0.6666  0.3334  0.0000  6 Y 3.49, 3 Tm 3.52, 3 Sc 3.52
Sc  0.0000  0.0000  0.0000  6 Y 3.48-3.49, 6 Tm 3.52

| no. | volume (Å³ per cell) | uncorrected energy (eV per atom) |
| --- | --- | --- |
| 1 | 491.04 | -6.279 |
| 2 | 287.21 | -3.596 |
| 3 | 62.06 | -8.647 |
| 4 | 439.46 | -4.024 |
| 5 | 143.97 | -2.451 |
| 6 | 55.15 | -8.108 |
| 7 | 320.91 | -6.670 |
| 8 | 205.46 | -3.489 |
| 9 | 336.66 | -4.124 |
| 10 | 67.28 | -4.743 |
| 11 | 54.55 | -3.222 |
| 12 | 126.96 | -3.251 |
| 13 | 67.90 | -8.416 |
| 14 | 467.70 | -5.807 |
| 15 | 151.19 | -8.623 |
| 16 | 253.98 | -4.567 |
| 17 | 60.31 | -3.426 |
| 18 | 528.12 | -2.803 |
| 19 | 125.60 | -5.782 |
| 20 | 370.38 | -5.613 |